Entry 1:
Compound: Ac2PtI
Source: Alexandria
Functional: PBE
Structure: relaxed

Output
Energy relative to the elements, uncorrected in meV/atom: -1229
Magnetization in μB/cell: 0.0
Density of states at the Fermi level in states/eV/atom: 0.64
Crystal system: trigonal
Polymorph energy (0 for the lowest one) in kcal/mol of atoms: 0.00

Cell lengths 4.4810, 4.4810, 25.8972 Å; angles 90.00, 90.00, 120.00 degrees
Space group R-3m (No. 166, hexagonal axes)
Unique sites:
Ac: 0.0000 0.0000 0.2285 x6
Pt: 0.0000 0.0000 0.5000 x3
I: 0.0000 0.0000 0.0000 x3

---

Entry 2:
Compound: NpBe17W
Source: Alexandria
Functional: PBE
Structure: relaxed

Output
Formation energy in kJ per mole of atoms: -0.9
Magnetization in μB/cell: 11.0
Density of states at the Fermi level in states/eV/atom: 0.51
Crystal system: trigonal

Cell lengths 7.4753, 7.4753, 10.9293 Å; angles 90.00, 90.00, 120.00 degrees
Space group R3m (No. 160, hexagonal axes)
Unique sites:
Np: 0.0000 0.0000 0.0000 x3
Be: 0.0000 0.0000 0.2462 x3
Be: 0.0000 0.0000 0.4400 x3
Be: 0.0015 0.5008 0.1808 x9
Be: 0.0047 0.2914 0.3386 x18
Be: 0.0061 0.5031 0.4938 x9
Be: 0.1680 0.3361 0.1731 x9
W: 0.0000 0.0000 0.6739 x3

---

Entry 3:
Compound: Pm6Co2HBr3
Source: Alexandria
Functional: PBE
Structure: relaxed

Output
Total DFT energy (no corrections) in eV/atom: -5.004
Magnetization in μB/cell: 0.0
Density of states at the Fermi level in states/eV/atom: 0.69
Crystal system: monoclinic

Cell lengths 6.8497, 11.8193, 8.0223 Å; angles 90.00, 106.63, 90.00 degrees
Space group C2/m (No. 12)
Unique sites:
Pm: 0.2232 0.0000 0.1911 x4
Pm: 0.2328 0.3301 0.1903 x8
Co: 0.0000 0.1663 0.0000 x4
H: 0.0000 0.5000 0.0000 x2
Br: 0.0000 0.0000 0.5000 x2
Br: 0.0000 0.3312 0.5000 x4

---

Entry 4:
Compound: K4Pu3HfSe8
Source: Alexandria
Functional: PBE
Structure: relaxed

Output
Energy relative to the elements, uncorrected in meV/atom: -1434
Magnetization in μB/cell: 48.0
Density of states at the Fermi level in states/eV/atom: 2.07
Crystal system: trigonal

Cell lengths 8.4123, 8.4123, 22.9707 Å; angles 90.00, 90.00, 120.00 degrees
Space group R-3m (No. 166, hexagonal axes)
Unique sites:
K: 0.0000 0.0000 0.0000 x3
K: 0.0000 0.5000 0.0000 x9
Pu: 0.0000 0.5000 0.5000 x9
Hf: 0.0000 0.0000 0.5000 x3
Se: 0.0000 0.0000 0.2361 x6
Se: 0.0212 0.5106 0.2338 x18

---

Entry 5:
Compound: Pm3SnRh3
Source: Alexandria
Functional: PBE
Structure: relaxed

Output
Formation energy in kJ per mole of atoms: -55.5
Magnetization in μB/cell: 0.0
Density of states at the Fermi level in states/eV/atom: 0.67
Crystal system: hexagonal
Polymorph energy (0 for the lowest one) in kcal/mol of atoms: 4.23

Cell lengths 8.9125, 8.9125, 4.7431 Å; angles 90.00, 90.00, 120.00 degrees
Space group P6_3/m (No. 176)
Unique sites:
Pm: 0.0800 0.4042 0.2500 x6
Sn: 0.3333 0.6667 0.7500 x2
Rh: 0.0370 0.1946 0.7500 x6

---

Entry 6:
Compound: Mg3TaCl
Source: Alexandria
Functional: PBE
Structure: relaxed

Output
Energy relative to the elements, uncorrected in meV/atom: 610
Magnetization in μB/cell: 2.1
Density of states at the Fermi level in states/eV/atom: 0.73
Crystal system: cubic
Polymorph energy (0 for the lowest one) in kcal/mol of atoms: 0.00

Cell lengths 4.8186, 4.8186, 4.8186 Å; angles 90.00, 90.00, 90.00 degrees
Space group Pm-3m (No. 221)
Unique sites:
Mg: 0.0000 0.0000 0.5000 x3
Ta: 0.5000 0.5000 0.5000 x1
Cl: 0.0000 0.0000 0.0000 x1

---

Entry 7:
Compound: SrRhI2N
Source: Alexandria
Functional: PBE
Structure: relaxed

Output
Energy relative to the elements, uncorrected in meV/atom: 849
Magnetization in μB/cell: 4.0
Density of states at the Fermi level in states/eV/atom: 1.83
Crystal system: tetragonal
Polymorph energy (0 for the lowest one) in kcal/mol of atoms: 26.50

Cell lengths 6.3672, 6.3672, 4.9384 Å; angles 90.00, 90.00, 90.00 degrees
Space group P4/mmm (No. 123)
Unique sites:
Sr: 0.0000 0.0000 0.0000 x1
Rh: 0.5000 0.5000 0.5000 x1
I: 0.0000 0.5000 0.0000 x2
N: 0.0000 0.0000 0.5000 x1

---

Entry 8:
Compound: Ba4Bi2As
Source: Alexandria
Functional: PBE
Structure: relaxed

Output
Formation energy in kJ per mole of atoms: -89.5
Magnetization in μB/cell: 0.0
Density of states at the Fermi level in states/eV/atom: 0.43
Crystal system: monoclinic

Cell lengths 13.3162, 5.1654, 9.8272 Å; angles 90.00, 118.18, 90.00 degrees
Space group C2/m (No. 12)
Unique sites:
Ba: 0.0775 0.0000 0.3693 x4
Ba: 0.1733 0.5000 0.0678 x4
Bi: 0.1471 0.5000 0.6665 x4
As: 0.0000 0.0000 0.0000 x2

---

Entry 9:
Compound: Ac2BPRh6
Source: Alexandria
Functional: PBE
Structure: relaxed

Output
Formation energy in kJ per mole of atoms: -69.5
Magnetization in μB/cell: 0.0
Density of states at the Fermi level in states/eV/atom: 0.21
Crystal system: cubic

Cell lengths 8.8980, 8.8980, 8.8980 Å; angles 90.00, 90.00, 90.00 degrees
Space group Fm-3m (No. 225)
Unique sites:
Ac: 0.2500 0.2500 0.2500 x8
B: 0.0000 0.0000 0.0000 x4
P: 0.0000 0.0000 0.5000 x4
Rh: 0.0000 0.0000 0.2406 x24

---

Entry 10:
Compound: CrInSe
Source: Alexandria
Functional: PBE
Structure: relaxed

Output
Energy relative to the elements, uncorrected in meV/atom: -6
Magnetization in μB/cell: 3.6
Density of states at the Fermi level in states/eV/atom: 0.73
Crystal system: trigonal
Polymorph energy (0 for the lowest one) in kcal/mol of atoms: 0.51

Cell lengths 3.6069, 3.6069, 5.9139 Å; angles 90.00, 90.00, 120.00 degrees
Space group P3m1 (No. 156)
Unique sites:
Cr: 0.0000 0.0000 0.0000 x1
In: 0.6667 0.3333 0.3509 x1
Se: 0.3333 0.6667 0.7734 x1

---

Entry 11:
Compound: Mn5Tc
Source: Alexandria
Functional: PBE
Structure: relaxed

Output
Formation energy in kJ per mole of atoms: 5.4
Magnetization in μB/cell: 2.1
Density of states at the Fermi level in states/eV/atom: 1.28
Crystal system: orthorhombic
Polymorph energy (0 for the lowest one) in kcal/mol of atoms: 0.47

Cell lengths 3.7189, 11.1417, 3.5267 Å; angles 90.00, 90.00, 90.00 degrees
Space group Cmmm (No. 65)
Unique sites:
Mn: 0.0000 0.0000 0.0000 x2
Mn: 0.0000 0.1690 0.5000 x4
Mn: 0.0000 0.3296 0.0000 x4
Tc: 0.0000 0.5000 0.5000 x2

---

Entry 12:
Compound: PrBi2
Source: Alexandria
Functional: PBE
Structure: relaxed

Output
Formation energy in kJ per mole of atoms: -53.2
Magnetization in μB/cell: 0.0
Density of states at the Fermi level in states/eV/atom: 0.70
Crystal system: monoclinic

Cell lengths 6.0497, 6.0376, 6.0685 Å; angles 90.00, 119.78, 90.00 degrees
Space group C2/m (No. 12)
Unique sites:
Pr: 0.0000 0.0000 0.0000 x2
Bi: 0.1525 0.5000 0.3053 x4

---

Q: Among the records above, which one has the highest density of states at the Fermi level?
A: K4Pu3HfSe8